11
Lattice="6.269 -5.618 0.000 6.269 5.618 0.000 -2.660 0.000 5.136" Properties=species:S:1:pos:R:3 comment="Y7Ho3Er | Alexandria | GGA-PBE | relaxed" spacegroup="No. 12" de_polymorph_mev_per_atom=123.2 e_form_ev_per_atom=0.271 energy_ev_per_atom=-5.51 magmom_total_mub_per_cell=0.4 mass_density_g_cm3=5.896 pbc="T T T"
Y 0.000 0.000 0.000
Y 3.001 2.284 1.562
Y 1.562 0.000 4.082
Y 6.878 2.284 3.574
Y 3.001 -2.284 1.562
Y 8.316 0.000 1.054
Y 6.878 -2.284 3.574
Ho 6.269 2.335 0.000
Ho 4.939 0.000 2.568
Ho 6.269 -2.335 0.000
Er -1.330 0.000 2.568